A plane-wave DFT calculation with GGA-PBE was carried out for an optimized crystal structure of HfZrCuTc.

* M_tot: 0.0 μB/cell
* DFT formation energy: -0.33 eV/atom
* D(E_F): 3.68 states/eV per cell
* relative energy among the computed polymorphs: 0.0 kJ per mole of atoms

Structure (CIF):
```
data_HfZrCuTc
_cell_length_a 3.3127
_cell_length_b 3.3127
_cell_length_c 6.4194
_cell_angle_alpha 90.00
_cell_angle_beta 90.00
_cell_angle_gamma 90.00
_space_group_name_H-M_alt 'P 4 m m'
_space_group_IT_number 99
loop_
_space_group_symop_operation_xyz
'x,y,z'
'-y,x,z'
'-x,-y,z'
'y,-x,z'
'-x,y,z'
'y,x,z'
'x,-y,z'
'-y,-x,z'
loop_
_atom_site_label
_atom_site_type_symbol
_atom_site_fract_x
_atom_site_fract_y
_atom_site_fract_z
Hf1 Hf 0.0000 0.0000 0.0000
Zr1 Zr 0.0000 0.0000 0.5114
Cu1 Cu 0.5000 0.5000 0.2483
Tc1 Tc 0.5000 0.5000 0.7589
```



A plane-wave DFT calculation with GGA-PBE was carried out for an optimized crystal structure of Sc3FeAg.

* M_tot: 1.5 μB/cell
* DFT formation energy: 0.83 eV/atom
* D(E_F): 8.88 states/eV per cell
* relative energy among the computed polymorphs: 93.0 kJ per mole of atoms

Structure (CIF):
```
data_Sc3FeAg
_cell_length_a 5.1100
_cell_length_b 5.1100
_cell_length_c 5.1100
_cell_angle_alpha 90.00
_cell_angle_beta 90.00
_cell_angle_gamma 90.00
_space_group_name_H-M_alt 'P m -3 m'
_space_group_IT_number 221
_space_group_name_Hall '-P 4 2 3'
loop_
_atom_site_label
_atom_site_type_symbol
_atom_site_fract_x
_atom_site_fract_y
_atom_site_fract_z
Sc1 Sc 0.0000 0.0000 0.5000
Fe1 Fe 0.5000 0.5000 0.5000
Ag1 Ag 0.0000 0.0000 0.0000
```



A plane-wave DFT calculation with GGA-PBE was carried out for an optimized crystal structure of Al2VCoSi.

* M_tot: 0.1 μB/cell
* formation energy (no corrections): 2.1 eV per formula unit
* D(E_F): 5.33 states/eV per cell

Structure (CIF):
```
data_Al2VCoSi
_cell_length_a 4.3968
_cell_length_b 4.3968
_cell_length_c 4.1901
_cell_angle_alpha 90.00
_cell_angle_beta 90.00
_cell_angle_gamma 90.00
_space_group_name_H-M_alt 'P 4/m m m'
_space_group_IT_number 123
_space_group_name_Hall '-P 4 2'
loop_
_atom_site_label
_atom_site_type_symbol
_atom_site_fract_x
_atom_site_fract_y
_atom_site_fract_z
Al1 Al 0.0000 0.5000 0.0000
V1 V 0.0000 0.0000 0.5000
Co1 Co 0.5000 0.5000 0.0000
Si1 Si 0.5000 0.5000 0.5000
```



A plane-wave DFT calculation with GGA-PBE was carried out for an optimized crystal structure of NpIrPb.

* M_tot: 13.1 μB/cell
* DFT formation energy: -0.04 eV/atom
* D(E_F): 35.80 states/eV per cell

Structure (CIF):
```
data_NpIrPb
_cell_length_a 5.4601
_cell_length_b 5.4583
_cell_length_c 10.6573
_cell_angle_alpha 90.00
_cell_angle_beta 93.69
_cell_angle_gamma 90.00
_space_group_name_H-M_alt 'C 1 2/m 1'
_space_group_IT_number 12
loop_
_space_group_symop_operation_xyz
'x,y,z'
'-x,-y,-z'
'-x,y,-z'
'x,-y,z'
'x+1/2,y+1/2,z'
'-x+1/2,-y+1/2,-z'
'-x+1/2,y+1/2,-z'
'x+1/2,-y+1/2,z'
loop_
_atom_site_label
_atom_site_type_symbol
_atom_site_fract_x
_atom_site_fract_y
_atom_site_fract_z
Np1 Np 0.2367 0.0000 0.3735
Ir1 Ir 0.2337 0.5000 0.3546
Pb1 Pb 0.2423 0.0000 0.9092
```



A plane-wave DFT calculation with GGA-PBE was carried out for an optimized crystal structure of YSi3Pt2.

* M_tot: 0.0 μB/cell
* formation energy (no corrections): -4.8 eV per formula unit
* D(E_F): 7.96 states/eV per cell

Structure (CIF):
```
data_YSi3Pt2
_cell_length_a 15.0571
_cell_length_b 4.0448
_cell_length_c 7.3713
_cell_angle_alpha 90.00
_cell_angle_beta 108.36
_cell_angle_gamma 90.00
_space_group_name_H-M_alt 'C 1 2/m 1'
_space_group_IT_number 12
loop_
_space_group_symop_operation_xyz
'x,y,z'
'-x,-y,-z'
'-x,y,-z'
'x,-y,z'
'x+1/2,y+1/2,z'
'-x+1/2,-y+1/2,-z'
'-x+1/2,y+1/2,-z'
'x+1/2,-y+1/2,z'
loop_
_atom_site_label
_atom_site_type_symbol
_atom_site_fract_x
_atom_site_fract_y
_atom_site_fract_z
Y1 Y 0.1419 0.0000 0.0992
Si1 Si 0.0245 0.0000 0.6638
Si2 Si 0.1503 0.5000 0.7952
Si3 Si 0.1645 0.5000 0.4395
Pt1 Pt 0.0086 0.5000 0.1943
Pt2 Pt 0.1967 0.0000 0.6682
```



A plane-wave DFT calculation with GGA-PBE was carried out for an optimized crystal structure of Nd4Sn3.

* M_tot: 0.0 μB/cell
* DFT formation energy: -0.75 eV/atom
* D(E_F): 3.77 states/eV per cell
* relative energy among the computed polymorphs: 0.0 kJ per mole of atoms

Structure (CIF):
```
data_Nd4Sn3
_cell_length_a 9.6131
_cell_length_b 9.6131
_cell_length_c 9.6131
_cell_angle_alpha 90.00
_cell_angle_beta 90.00
_cell_angle_gamma 90.00
_space_group_name_H-M_alt 'I -4 3 d'
_space_group_IT_number 220
_space_group_name_Hall 'I -4bd 2c 3'
loop_
_atom_site_label
_atom_site_type_symbol
_atom_site_fract_x
_atom_site_fract_y
_atom_site_fract_z
Nd1 Nd 0.0695 0.4305 0.5695
Sn1 Sn 0.0000 0.2500 0.8750
```



A plane-wave DFT calculation with GGA-PBE was carried out for an optimized crystal structure of LaEr2ScIn4.

* M_tot: 0.0 μB/cell
* DFT formation energy: -0.43 eV/atom
* D(E_F): 15.08 states/eV per cell

Structure (CIF):
```
data_LaEr2ScIn4
_cell_length_a 5.2959
_cell_length_b 5.2959
_cell_length_c 26.2221
_cell_angle_alpha 90.00
_cell_angle_beta 90.00
_cell_angle_gamma 120.00
_space_group_name_H-M_alt 'R -3 m'
_space_group_IT_number 166
_space_group_name_Hall '-R 3 2"'
loop_
_atom_site_label
_atom_site_type_symbol
_atom_site_fract_x
_atom_site_fract_y
_atom_site_fract_z
La1 La 0.0000 0.0000 0.0000
Er1 Er 0.0000 0.0000 0.2488
Sc1 Sc 0.0000 0.0000 0.5000
In1 In 0.0000 0.0000 0.1287
In2 In 0.0000 0.0000 0.3797
```



A plane-wave DFT calculation with GGA-PBE was carried out for an optimized crystal structure of BaSr2AgP.

* M_tot: 0.0 μB/cell
* DFT formation energy: -0.43 eV/atom
* D(E_F): 3.47 states/eV per cell

Structure (CIF):
```
data_BaSr2AgP
_cell_length_a 5.8320
_cell_length_b 5.8320
_cell_length_c 6.2589
_cell_angle_alpha 90.00
_cell_angle_beta 90.00
_cell_angle_gamma 90.00
_space_group_name_H-M_alt 'P 4/m m m'
_space_group_IT_number 123
_space_group_name_Hall '-P 4 2'
loop_
_atom_site_label
_atom_site_type_symbol
_atom_site_fract_x
_atom_site_fract_y
_atom_site_fract_z
Ba1 Ba 0.0000 0.0000 0.0000
Sr1 Sr 0.0000 0.5000 0.5000
Ag1 Ag 0.5000 0.5000 0.0000
P1 P 0.0000 0.0000 0.5000
```



A plane-wave DFT calculation with GGA-PBE was carried out for an optimized crystal structure of Sr2ZnTeCl.

* M_tot: 0.0 μB/cell
* formation energy (no corrections): -3.4 eV per formula unit
* D(E_F): 3.16 states/eV per cell

Structure (CIF):
```
data_Sr2ZnTeCl
_cell_length_a 6.0591
_cell_length_b 6.0591
_cell_length_c 5.1141
_cell_angle_alpha 90.00
_cell_angle_beta 90.00
_cell_angle_gamma 90.00
_space_group_name_H-M_alt 'P 4/m m m'
_space_group_IT_number 123
_space_group_name_Hall '-P 4 2'
loop_
_atom_site_label
_atom_site_type_symbol
_atom_site_fract_x
_atom_site_fract_y
_atom_site_fract_z
Sr1 Sr 0.0000 0.5000 0.0000
Zn1 Zn 0.0000 0.0000 0.0000
Te1 Te 0.0000 0.0000 0.5000
Cl1 Cl 0.5000 0.5000 0.5000
```



A plane-wave DFT calculation with GGA-PBE was carried out for an optimized crystal structure of MnBe3Mo2.

* M_tot: 2.0 μB/cell
* DFT formation energy: -0.19 eV/atom
* D(E_F): 9.39 states/eV per cell

Structure (CIF):
```
data_MnBe3Mo2
_cell_length_a 4.5199
_cell_length_b 4.5199
_cell_length_c 11.2217
_cell_angle_alpha 90.00
_cell_angle_beta 90.00
_cell_angle_gamma 120.00
_space_group_name_H-M_alt 'R -3 m'
_space_group_IT_number 166
_space_group_name_Hall '-R 3 2"'
loop_
_atom_site_label
_atom_site_type_symbol
_atom_site_fract_x
_atom_site_fract_y
_atom_site_fract_z
Mn1 Mn 0.0000 0.0000 0.0000
Be1 Be 0.0000 0.5000 0.5000
Mo1 Mo 0.0000 0.0000 0.3815
```



A plane-wave DFT calculation with GGA-PBE was carried out for an optimized crystal structure of SmTlCdSn.

* M_tot: 0.0 μB/cell
* DFT formation energy: -0.40 eV/atom
* D(E_F): 1.79 states/eV per cell

Structure (CIF):
```
data_SmTlCdSn
_cell_length_a 4.5417
_cell_length_b 4.6840
_cell_length_c 4.9241
_cell_angle_alpha 90.00
_cell_angle_beta 90.00
_cell_angle_gamma 90.00
_space_group_name_H-M_alt 'P m m m'
_space_group_IT_number 47
loop_
_space_group_symop_operation_xyz
'x,y,z'
'-x,-y,-z'
'-x,-y,z'
'x,y,-z'
'x,-y,-z'
'-x,y,z'
'-x,y,-z'
'x,-y,z'
loop_
_atom_site_label
_atom_site_type_symbol
_atom_site_fract_x
_atom_site_fract_y
_atom_site_fract_z
Sm1 Sm 0.0000 0.0000 0.0000
Tl1 Tl 0.5000 0.0000 0.5000
Cd1 Cd 0.0000 0.5000 0.5000
Sn1 Sn 0.5000 0.5000 0.0000
```



A plane-wave DFT calculation with GGA-PBE was carried out for an optimized crystal structure of MgGa3As.

* M_tot: 0.0 μB/cell
* DFT formation energy: 0.34 eV/atom
* D(E_F): 2.01 states/eV per cell
* relative energy among the computed polymorphs: 0.0 kJ per mole of atoms

Structure (CIF):
```
data_MgGa3As
_cell_length_a 5.0381
_cell_length_b 5.0381
_cell_length_c 5.0381
_cell_angle_alpha 90.00
_cell_angle_beta 90.00
_cell_angle_gamma 90.00
_space_group_name_H-M_alt 'P m -3 m'
_space_group_IT_number 221
_space_group_name_Hall '-P 4 2 3'
loop_
_atom_site_label
_atom_site_type_symbol
_atom_site_fract_x
_atom_site_fract_y
_atom_site_fract_z
Mg1 Mg 0.0000 0.0000 0.0000
Ga1 Ga 0.0000 0.5000 0.5000
As1 As 0.5000 0.5000 0.5000
```